A plane-wave DFT calculation with PBE was carried out for CuSi2Br after structural relaxation.

Cell and atoms, written as POSCAR:
```
CuSi2Br
1.0
2.9604 0.0000 0.0000
0.0000 4.4932 0.0000
0.0000 0.0000 10.6269
Cu Si Br
2 4 2
Direct
0.0000 0.0000 0.0000 Cu
0.5000 0.5000 0.5000 Cu
0.0000 0.5000 0.2976 Si
0.0000 0.5000 0.7024 Si
0.5000 0.0000 0.2024 Si
0.5000 0.0000 0.7976 Si
0.0000 0.0000 0.5000 Br
0.5000 0.5000 0.0000 Br
```

## Properties
Its electronic total energy is -28.8 eV per cell. The calculation puts the energy relative to the elements, uncorrected at 12.77 kcal/mol of atoms. Its space group is Immm. The energy above the most stable polymorph in this dataset is 404.7 meV/atom.



A plane-wave DFT calculation with PBE was carried out for CuSi2Br after structural relaxation.

Cell and atoms, written as POSCAR:
```
CuSi2Br
1.0
3.3618 0.0000 0.0000
0.0000 3.4139 0.0000
0.0000 0.0000 6.9205
Cu Si Br
1 2 1
Direct
0.0000 0.0000 0.0000 Cu
0.0000 0.0000 0.6612 Si
0.5000 0.5000 0.7763 Si
0.5000 0.5000 0.1940 Br
```

## Properties
Its electronic total energy is -15.4 eV per cell. The calculation puts the energy relative to the elements, uncorrected at 6.99 kcal/mol of atoms. Its space group is Pmm2. The energy above the most stable polymorph in this dataset is 154.4 meV/atom.



A plane-wave DFT calculation with PBE was carried out for CuSiBr after structural relaxation.

Cell and atoms, written as POSCAR:
```
CuSiBr
1.0
6.4379 0.0000 0.0000
0.0000 6.4379 0.0000
0.0000 0.0000 6.4379
Cu Si Br
4 4 4
Direct
0.0000 0.0000 0.0000 Cu
0.0000 0.5000 0.5000 Cu
0.5000 0.0000 0.5000 Cu
0.5000 0.5000 0.0000 Cu
0.2500 0.2500 0.2500 Si
0.2500 0.7500 0.7500 Si
0.7500 0.2500 0.7500 Si
0.7500 0.7500 0.2500 Si
0.0000 0.0000 0.5000 Br
0.0000 0.5000 0.0000 Br
0.5000 0.0000 0.0000 Br
0.5000 0.5000 0.5000 Br
```

## Properties
Its electronic total energy is -35.8 eV per cell. The calculation puts the energy relative to the elements, uncorrected at 17.23 kcal/mol of atoms. Its space group is F-43m. The energy above the most stable polymorph in this dataset is 678.1 meV/atom.



A plane-wave DFT calculation with PBE was carried out for CuSi2Br after structural relaxation.

Cell and atoms, written as POSCAR:
```
CuSi2Br
1.0
3.8033 0.0000 0.0000
-1.9017 3.2938 0.0000
0.0000 0.0000 18.8869
Cu Si Br
3 6 3
Direct
0.0000 0.0000 0.0000 Cu
0.3333 0.6667 0.6667 Cu
0.6667 0.3333 0.3333 Cu
0.0000 0.0000 0.4503 Si
0.0000 0.0000 0.7432 Si
0.3333 0.6667 0.1169 Si
0.3333 0.6667 0.4099 Si
0.6667 0.3333 0.0765 Si
0.6667 0.3333 0.7836 Si
0.0000 0.0000 0.2527 Br
0.3333 0.6667 0.9193 Br
0.6667 0.3333 0.5860 Br
```

## Properties
Its electronic total energy is -47.9 eV per cell. The calculation puts the energy relative to the elements, uncorrected at 3.79 kcal/mol of atoms. Its space group is R3m. The energy above the most stable polymorph in this dataset is 15.5 meV/atom.